No. 1
CaCr2Os after structural relaxation. Source: the Alexandria database, functional PBE.

Results
**DOS at the Fermi energy**: 2.82 states/eV/f.u.
**Calculated formation energy**: 0.6119 eV/atom
**Magnetization**: 0.32 μB/f.u.
**Volume**: 130 Å³/cell
**Excess energy over the best structure of this formula in the dataset**: 0.187 eV/atom
**Crystal system**: orthorhombic

Cell: 2.9808 4.7292 9.2204 Å, 90.00 90.00 90.00°
Closest atoms and distances in Å follow each position.
Space group Imm2 (No. 44)
Unique sites:
Ca (0.0000, 0.0000, 0.0000)  8 Cr 2.80-3.12, 2 Os 2.93, 2 Ca 2.98
Cr (0.0000, 0.0000, 0.5048)  2 Os 2.53, 2 Cr 2.56, 4 Ca 2.80
Cr (0.0000, 0.5000, 0.7794)  2 Cr 2.56, 4 Os 2.84
Os (0.0000, 0.5000, 0.2260)  2 Cr 2.53

=====

No. 2
CaCrOs2 after structural relaxation. Source: the Alexandria database, functional PBE.

Results
**DOS at the Fermi energy**: 4.14 states/eV/f.u.
**Calculated formation energy**: 0.5853 eV/atom
**Magnetization**: 2.99 μB/f.u.
**Volume**: 69 Å³/cell
**Excess energy over the best structure of this formula in the dataset**: 0.212 eV/atom
**Crystal system**: monoclinic

Cell: 2.8426 4.3628 5.7313 Å, 90.00 103.64 90.00°
Closest atoms and distances in Å follow each position.
Space group Pm (No. 6)
Unique sites:
Ca (0.0000, 0.0000, 0.0000)  1 Os 2.78, 2 Ca 2.84, 4 Cr 2.99
Cr (0.6274, 0.5000, 0.2646)  4 Os 2.55-2.56, 2 Cr 2.84
Os (0.3081, 0.5000, 0.6469)  2 Cr 2.56, 6 Os 2.71-2.84
Os (0.7259, 0.0000, 0.5018)  2 Cr 2.55, 6 Os 2.71-2.84, 1 Ca 2.78

=====

No. 3
CaCrOs2 after structural relaxation. Source: the Alexandria database, functional PBE.

Results
**DOS at the Fermi energy**: 3.92 states/eV/f.u.
**Calculated formation energy**: 0.5492 eV/atom
**Magnetization**: 0.76 μB/f.u.
**Volume**: 67 Å³/cell
**Excess energy over the best structure of this formula in the dataset**: 0.175 eV/atom
**Crystal system**: monoclinic

Cell: 2.8216 4.0487 6.0469 Å, 90.00 102.90 90.00°
Closest atoms and distances in Å follow each position.
Space group P2/m (No. 10)
Unique sites:
Ca (0.0000, 0.0000, 0.0000)  2 Ca 2.82, 2 Cr 3.02, 8 Os 3.03-3.08
Cr (0.0000, 0.0000, 0.5000)  4 Os 2.46
Os (0.3754, 0.5000, 0.6944)  2 Cr 2.46, 1 Os 2.60

=====

No. 4
Ca4CrOs after structural relaxation. Source: the Alexandria database, functional PBE.

Results
**DOS at the Fermi energy**: 6.48 states/eV/f.u.
**Calculated formation energy**: 1.2257 eV/atom
**Magnetization**: 5.21 μB/f.u.
**Volume**: 637 Å³/cell
**Crystal system**: cubic

Cell: 8.6030 8.6030 8.6030 Å, 90.00 90.00 90.00°
Closest atoms and distances in Å follow each position.
Space group F-43m (No. 216)
Unique sites:
Ca (0.1239, 0.1239, 0.3761)  6 Ca 3.01-3.07
Cr (0.0000, 0.0000, 0.0000)  12 Ca 3.57, 4 Os 3.73
Os (0.2500, 0.2500, 0.7500)  12 Ca 3.56, 4 Cr 3.73

=====

No. 5
CaCrOs2 after structural relaxation. Source: the Alexandria database, functional PBE.

Results
**DOS at the Fermi energy**: 3.69 states/eV/f.u.
**Calculated formation energy**: 0.5268 eV/atom
**Magnetization**: 1.12 μB/f.u.
**Volume**: 128 Å³/cell
**Excess energy over the best structure of this formula in the dataset**: 0.153 eV/atom
**Crystal system**: orthorhombic

Cell: 2.8572 4.7382 9.4807 Å, 90.00 90.00 90.00°
Closest atoms and distances in Å follow each position.
Space group Immm (No. 71)
Unique sites:
Ca (0.0000, 0.0000, 0.0000)  4 Cr 2.77, 2 Ca 2.86, 4 Os 3.04
Cr (0.0000, 0.0000, 0.5000)  4 Os 2.51, 4 Ca 2.77
Os (0.0000, 0.5000, 0.2171)  2 Cr 2.51

=====

No. 6
CaCrOs after structural relaxation. Source: the Alexandria database, functional PBE.

Results
**DOS at the Fermi energy**: 2.96 states/eV/f.u.
**Calculated formation energy**: 0.4402 eV/atom
**Magnetization**: 0.02 μB/f.u.
**Volume**: 116 Å³/cell
**Excess energy over the best structure of this formula in the dataset**: 0.000 eV/atom
**Crystal system**: orthorhombic

Cell: 3.0096 3.5617 10.8075 Å, 90.00 90.00 90.00°
Closest atoms and distances in Å follow each position.
Space group Imm2 (No. 44)
Unique sites:
Ca (0.0000, 0.0000, 0.0000)  1 Cr 2.99, 2 Ca 3.01, 5 Os 3.05-3.31
Cr (0.0000, 0.0000, 0.7231)  4 Os 2.42
Os (0.0000, 0.0000, 0.2821)  4 Cr 2.42

=====

No. 7
CaCr2Os after structural relaxation. Source: the Alexandria database, functional PBE.

Results
**DOS at the Fermi energy**: 3.06 states/eV/f.u.
**Calculated formation energy**: 0.5128 eV/atom
**Magnetization**: 0.00 μB/f.u.
**Volume**: 144 Å³/cell
**Excess energy over the best structure of this formula in the dataset**: 0.088 eV/atom
**Crystal system**: monoclinic

Cell: 9.3393 3.0153 5.2476 Å, 90.00 103.63 90.00°
Closest atoms and distances in Å follow each position.
Space group C2/m (No. 12)
Unique sites:
Ca (0.0000, 0.0000, 0.0000)  2 Ca 3.02, 4 Os 3.03, 6 Cr 3.12-3.27
Cr (0.2155, 0.0000, 0.6268)  2 Cr 2.21
Os (0.0000, 0.5000, 0.5000)  4 Cr 2.48

=====

No. 8
CaCrOs2 after structural relaxation. Source: the Alexandria database, functional PBE.

Results
**DOS at the Fermi energy**: 4.09 states/eV/f.u.
**Calculated formation energy**: 0.5104 eV/atom
**Magnetization**: 0.93 μB/f.u.
**Volume**: 135 Å³/cell
**Excess energy over the best structure of this formula in the dataset**: 0.137 eV/atom
**Crystal system**: monoclinic

Cell: 9.4765 2.8696 5.1743 Å, 90.00 106.77 90.00°
Closest atoms and distances in Å follow each position.
Space group C2/m (No. 12)
Unique sites:
Ca (0.0000, 0.0000, 0.0000)  2 Ca 2.87, 4 Cr 2.96, 6 Os 2.99-3.04
Cr (0.0000, 0.5000, 0.5000)  4 Os 2.48
Os (0.2196, 0.0000, 0.6857)  2 Cr 2.48, 2 Os 2.59